[1]
Computed, not measured: Rb2HfOsBr6 after structural relaxation at the PBE-GGA level of DFT.

Values from the calculation:
M_tot in μB/f.u.: 1.9
Formation energy (no corrections) in eV/f.u.: -7.208
DOS(E_F) in states/eV/f.u.: 2.4
Space-group type: I4/mmm, No. 139

Lattice parameters (Å, degrees): 7.3875 7.3875 7.7997 61.73 61.73 90.00
Last column: nearest neighbours and their distance in Å.
Positions (direct):
Hf1 0.5000 0.5000 0.0000  6 Br 2.64-2.70
Os1 0.0000 0.0000 0.0000  4 Br 2.58
Br1 0.2670 0.2670 0.4660  1 Hf 2.70
Br2 0.7330 0.7330 0.5340  1 Hf 2.70
Br3 0.2472 0.2472 0.0000  1 Os 2.58, 1 Hf 2.64
Br4 0.7528 0.7528 0.0000  1 Os 2.58, 1 Hf 2.64
Br5 0.7528 0.2472 0.0000  1 Os 2.58, 1 Hf 2.64
Br6 0.2472 0.7528 0.0000  1 Os 2.58, 1 Hf 2.64
Rb1 0.7500 0.2500 0.5000  12 Br 3.70-3.90
Rb2 0.2500 0.7500 0.5000  12 Br 3.70-3.90

[2]
Computed, not measured: AcYTe2 after structural relaxation at the PBE-GGA level of DFT.

Values from the calculation:
M_tot in μB/f.u.: 1.0
ΔE to the lowest computed polymorph in eV/f.u.: 0.57
Formation energy (no corrections) in eV/f.u.: -5.039
DOS(E_F) in states/eV/f.u.: 2.8
Space-group type: P4/mmm, No. 123

Lattice parameters (Å, degrees): 3.9255 3.9255 7.9083 90.00 90.00 90.00
Last column: nearest neighbours and their distance in Å.
Positions (direct):
Y1 0.5000 0.5000 0.0000  8 Te 3.33
Ac1 0.5000 0.5000 0.5000  8 Te 3.49
Te1 0.0000 0.0000 0.7683  4 Y 3.33, 4 Ac 3.49, 1 Te 3.66
Te2 0.0000 0.0000 0.2317  4 Y 3.33, 4 Ac 3.49, 1 Te 3.66

Repeat the first record exactly.
Computed, not measured: Rb2HfOsBr6 after structural relaxation at the PBE-GGA level of DFT.

Values from the calculation:
M_tot in μB/f.u.: 1.9
Formation energy (no corrections) in eV/f.u.: -7.208
DOS(E_F) in states/eV/f.u.: 2.4
Space-group type: I4/mmm, No. 139

Lattice parameters (Å, degrees): 7.3875 7.3875 7.7997 61.73 61.73 90.00
Last column: nearest neighbours and their distance in Å.
Positions (direct):
Hf1 0.5000 0.5000 0.0000  6 Br 2.64-2.70
Os1 0.0000 0.0000 0.0000  4 Br 2.58
Br1 0.2670 0.2670 0.4660  1 Hf 2.70
Br2 0.7330 0.7330 0.5340  1 Hf 2.70
Br3 0.2472 0.2472 0.0000  1 Os 2.58, 1 Hf 2.64
Br4 0.7528 0.7528 0.0000  1 Os 2.58, 1 Hf 2.64
Br5 0.7528 0.2472 0.0000  1 Os 2.58, 1 Hf 2.64
Br6 0.2472 0.7528 0.0000  1 Os 2.58, 1 Hf 2.64
Rb1 0.7500 0.2500 0.5000  12 Br 3.70-3.90
Rb2 0.2500 0.7500 0.5000  12 Br 3.70-3.90

What did the first record say?
Computed, not measured: Rb2HfOsBr6 after structural relaxation at the PBE-GGA level of DFT.

Values from the calculation:
M_tot in μB/f.u.: 1.9
Formation energy (no corrections) in eV/f.u.: -7.208
DOS(E_F) in states/eV/f.u.: 2.4
Space-group type: I4/mmm, No. 139

Lattice parameters (Å, degrees): 7.3875 7.3875 7.7997 61.73 61.73 90.00
Last column: nearest neighbours and their distance in Å.
Positions (direct):
Hf1 0.5000 0.5000 0.0000  6 Br 2.64-2.70
Os1 0.0000 0.0000 0.0000  4 Br 2.58
Br1 0.2670 0.2670 0.4660  1 Hf 2.70
Br2 0.7330 0.7330 0.5340  1 Hf 2.70
Br3 0.2472 0.2472 0.0000  1 Os 2.58, 1 Hf 2.64
Br4 0.7528 0.7528 0.0000  1 Os 2.58, 1 Hf 2.64
Br5 0.7528 0.2472 0.0000  1 Os 2.58, 1 Hf 2.64
Br6 0.2472 0.7528 0.0000  1 Os 2.58, 1 Hf 2.64
Rb1 0.7500 0.2500 0.5000  12 Br 3.70-3.90
Rb2 0.2500 0.7500 0.5000  12 Br 3.70-3.90

Among the records above, which one has the highest M_tot? Rb2HfOsBr6